NiCl2O2 after structural relaxation, computed with PBE with a Hubbard U.

Results
uncorrected energy	-3.622	eV per atom
symmetry	No. 12

a = 6.740 Å, b = 6.740 Å, c = 6.506 Å
α = 69.13°, β = 69.13°, γ = 60.09°
Last column: magnetic moment on the atom in μB.
Fractional positions:
Ni: 0.750 0.250 0.000  1.73
Ni: 0.250 0.750 0.000  1.73
Cl: 0.068 0.068 0.168  0.10
Cl: 0.932 0.932 0.832  0.10
Cl: 0.563 0.563 0.177  0.10
Cl: 0.437 0.437 0.823  0.10
O: 0.990 0.489 0.601  0.80
O: 0.511 0.010 0.399  0.80
O: 0.010 0.511 0.399  0.80
O: 0.489 0.990 0.601  0.80